PaTaTcW | the Alexandria database | GGA-PBE | optimized geometry; total DFT energy (no corrections) = -11.199 eV per atom; DOS(E_F) = 3.48 states/eV per cell; ΔE_f = -31.9 meV per atom; symmetry = F-43m, No. 216
1.0
-0.8708 -4.6005 -0.4934
1.5062 -3.0439 3.2606
-3.0929 -2.1284 2.8408
Pa Tc W Ta
1 1 1 1
Direct
0.2500 0.2500 0.2500 Pa
0.5000 0.5000 0.5000 Tc
0.0000 0.0000 0.0000 W
0.7500 0.7500 0.7500 Ta